Density functional theory data (PBE) for an optimized crystal structure of Cs3IrBr6.

Cell lengths 8.302, 8.335, 14.279 Å; angles 90.00, 124.45, 90.00 degrees
Space group P2_1/c (No. 14)
Inequivalent atoms, fractional coordinates:
1 Cs 0.000 0.000 0.000 x2
2 Cs 0.270 0.057 0.756 x4
3 Ir 0.500 0.000 0.500 x2
4 Br 0.219 0.006 0.293 x4
5 Br 0.295 0.668 0.042 x4
6 Br 0.374 0.248 0.036 x4

Output
- Final energy: -3.3097 eV per atom
- Fermi-level density of states: 0.000 states/eV/f.u.
- Raw formation energy: -1164 meV/atom